This record from Alexandria via LeMat-Bulk describes an optimized crystal structure of TbMg4Ni2. The functional is GGA-PBE.

Lattice parameters (Å, degrees): 4.166 4.121 8.270 104.43 90.00 90.00
Sites, in units of the cell vectors:
Tb 0.000 0.000 0.000
Mg 0.500 0.827 0.653
Mg 0.000 0.672 0.344
Mg 0.500 0.173 0.347
Mg 0.000 0.328 0.656
Ni 0.500 0.571 0.143
Ni 0.500 0.429 0.857

Output
The density of states at the Fermi level is 4.24 states/eV per cell. For the volume, the calculation gives 137.49 Å³/f.u. The total magnetization comes out at 0.0 Bohr magnetons per cell. The raw total energy is -3.371 eV/atom. The calculated formation energy is -1.0 eV per formula unit.